# 1
8
Lattice="5.0587 0.0000 0.0000 0.0000 5.0587 0.0000 2.5294 2.5294 8.7830" Properties=species:S:1:pos:R:3 comment="PBE SrAl2Zn, optimized geometry" space_group=I4_1/amd magnetic_moment_mub_per_fu=0.00 total_energy_ev_per_cell=-20.9 delta_e_f_ev_per_atom=0.001 pbc="T T T"
Sr 0.0000 0.0000 0.0000
Sr 5.0587 2.5294 4.3915
Zn 2.5294 2.5294 0.0000
Zn 2.5294 5.0587 4.3915
Al 2.5278 1.2647 2.1957
Al 2.5309 3.7941 2.1957
Al 3.7941 5.0603 6.5872
Al 6.3234 5.0572 6.5872

# 2
14
Lattice="3.8600 0.0000 0.0000 0.0000 7.2194 0.0000 0.0000 0.0000 7.2194" Properties=species:S:1:pos:R:3 comment="PBE PaNi4As2, optimized geometry" space_group=P4_2/mnm magnetic_moment_mub_per_fu=0.00 total_energy_ev_per_cell=-91.6 delta_e_f_ev_per_atom=-0.558 pbc="T T T"
Pa 1.9300 0.0000 0.0000
Pa 0.0000 3.6097 3.6097
Ni 0.0000 0.6791 2.5116
Ni 0.0000 6.5403 4.7078
Ni 1.9300 1.0981 4.2888
Ni 1.9300 6.1213 2.9306
Ni 1.9300 2.9306 6.1213
Ni 1.9300 4.2888 1.0981
Ni 0.0000 2.5116 0.6791
Ni 0.0000 4.7078 6.5403
As 0.0000 1.5627 5.6567
As 0.0000 5.6567 1.5627
As 1.9300 5.1724 5.1724
As 1.9300 2.0470 2.0470

# 3
5
Lattice="4.8133 0.0000 0.0000 0.0000 4.8133 0.0000 0.0000 0.0000 4.7650" Properties=species:S:1:pos:R:3 comment="PBE LaMgPS2, optimized geometry" space_group=P4/mmm magnetic_moment_mub_per_fu=0.00 total_energy_ev_per_cell=-24.1 de_polymorph_mev_per_atom=0 raw_formation_energy_ev_per_atom=-0.78 pbc="T T T"
P 0.0000 0.0000 2.3825
S 0.0000 2.4066 0.0000
S 2.4066 0.0000 0.0000
Mg 0.0000 0.0000 0.0000
La 2.4066 2.4066 2.3825

# 4
6
Lattice="-1.8417 -3.3992 1.8219 3.7731 -1.7553 0.5390 -1.4184 3.5740 5.2344" Properties=species:S:1:pos:R:3 comment="PBE UAl5, optimized geometry" space_group=Cmmm magnetic_moment_mub_per_fu=2.49 total_energy_ev_per_cell=-30.3 de_polymorph_mev_per_atom=0 delta_e_f_ev_per_atom=-0.042 pbc="T T T"
U 0.0000 0.0000 0.0000
Al 1.2753 -0.7940 4.8206
Al 2.0526 0.0792 2.2226
Al 0.9657 -2.5773 1.1805
Al 0.3020 1.7395 3.5508
Al -0.7623 -0.7866 2.7747

# 5
12
Lattice="-4.3164 -5.0041 1.9687 4.9504 -2.7119 3.9608 -2.9292 5.4296 7.3786" Properties=species:S:1:pos:R:3 comment="PBE CsTbTe4, optimized geometry" space_group=P4/nbm magnetic_moment_mub_per_fu=0.00 total_energy_ev_per_cell=-47.5 raw_formation_energy_ev_per_atom=-0.95 pbc="T T T"
Cs -1.1476 -1.1432 6.6541
Cs -1.4646 2.7148 3.6893
Tb 0.3170 -3.8580 2.9647
Tb 0.0000 0.0000 0.0000
Te 0.8822 -4.5091 6.0664
Te 2.0072 -1.4411 4.2554
Te -2.4939 -4.1977 4.4969
Te -4.4348 0.7652 7.8152
Te 0.3309 0.3009 10.0488
Te -1.3689 -1.1296 2.6859
Te -2.8605 -1.6352 10.2065
Te -1.2433 2.7012 7.6575

# 6
12
Lattice="-1.9598 -4.8375 4.5231 1.7075 -1.7698 -6.4539 6.3108 1.4304 2.5081" Properties=species:S:1:pos:R:3 comment="PBE LaTb3Sm2S6, optimized geometry" space_group=C2/m magnetic_moment_mub_per_fu=0.00 total_energy_ev_per_cell=-77.5 raw_formation_energy_ev_per_atom=-2.04 pbc="T T T"
La 0.0000 0.0000 0.0000
Tb 4.2562 -1.5621 -3.3839
Tb 1.8023 -3.6148 3.9612
Tb 3.0293 -2.5885 0.2887
Sm 0.4871 -2.7907 -2.8010
Sm -0.7394 -3.8167 0.8702
S 3.8514 -4.3743 2.2731
S 1.4509 -4.5707 -0.7926
S 2.2071 -0.8026 -1.6958
S 5.0920 -3.3366 -1.4402
S 4.6077 -0.6062 1.3700
S 0.9666 -1.8403 2.0175